[1]
PBE SrBe3Ir, optimized geometry; size of the total moment = 0.00 μB per cell; E_form = -4.6 kcal/mol of atoms; offset from the most stable computed form = 0 meV per atom; density = 5977 kg/m³
1.0
-2.752 -1.383 3.144
-2.162 -2.433 -2.963
2.669 -3.397 0.842
Be Ir Sr
3 1 1
Cartesian
-1.081 -1.217 -1.481
-1.376 -0.691 1.572
1.335 -1.698 0.421
0.000 0.000 0.000
-1.122 -3.607 0.512

---

[2]
PBE DyCuNi2, optimized geometry; size of the total moment = 0.00 μB per cell; E_form = -3.6 kcal/mol of atoms; density = 9490 kg/m³
1.0
4.397 0.000 0.000
2.198 3.808 0.000
2.198 1.269 3.590
Ni Dy Cu
2 1 1
Cartesian
2.198 1.269 0.897
6.595 3.808 2.692
0.000 0.000 0.000
4.397 2.538 1.795

---

[3]
PBE La2Pr5YEr, optimized geometry; size of the total moment = 0.00 μB per cell; E_form = 2.8 kcal/mol of atoms; density = 6360 kg/m³
1.0
5.765 0.000 0.000
-2.882 10.332 0.000
0.000 0.000 10.857
Pr Y La Er
10 2 4 2
Cartesian
0.000 5.714 3.397
2.882 4.618 8.825
2.882 10.039 5.622
0.000 7.884 0.221
2.882 0.327 2.656
0.000 10.005 8.085
2.882 4.282 2.208
2.882 2.448 5.649
0.000 6.051 7.637
0.000 0.294 0.193
2.882 1.966 10.503
0.000 8.367 5.074
0.000 2.362 7.986
2.882 7.970 2.557
2.882 7.919 8.817
0.000 2.414 3.389
2.882 6.210 5.537
0.000 4.122 0.108

---

[4]
PBE Li4DyGa4, optimized geometry; size of the total moment = 0.00 μB per cell; E_form = -6.0 kcal/mol of atoms; density = 4928 kg/m³
1.0
-2.960 1.608 4.793
-5.056 -0.884 -2.826
-0.083 -8.748 2.885
Ga Li Dy
8 8 2
Cartesian
-1.457 -6.495 1.280
-2.675 -6.265 4.031
-5.470 -6.753 2.468
-3.207 -1.959 0.278
-3.717 -6.890 0.017
-0.842 -2.053 2.148
-2.166 -1.334 4.292
-4.844 -1.070 2.927
-1.429 -3.938 0.439
-4.900 -7.263 4.966
-3.268 -8.150 2.323
-2.192 -3.889 5.138
-0.864 -4.610 2.988
-2.620 -0.074 1.987
-3.697 -4.335 -0.828
-5.408 -0.561 0.429
0.000 0.000 0.000
-4.049 -4.012 2.426

---

[5]
PBE HgGeIrOs2, optimized geometry; size of the total moment = 5.46 μB per cell; E_form = 66.9 kcal/mol of atoms; density = 11349 kg/m³
1.0
4.985 0.000 0.000
0.000 4.980 0.000
0.000 0.000 4.985
Ge Hg Os Ir
1 1 2 1
Cartesian
2.493 2.490 2.493
0.000 0.000 0.000
0.000 0.000 2.493
2.493 0.000 0.000
0.000 2.490 0.000

---

[6]
PBE NaCd6Pd12, optimized geometry; size of the total moment = 0.00 μB per cell; E_form = -3.4 kcal/mol of atoms; density = 9740 kg/m³
1.0
-4.617 -5.462 -0.316
1.617 1.046 -6.895
5.924 -3.139 2.508
Cd Pd Na
6 12 1
Cartesian
-0.743 -2.718 -0.876
3.667 -4.836 -3.827
0.925 -0.985 -2.623
1.999 -6.570 -2.079
2.066 -2.104 -0.116
0.859 -5.451 -4.587
-1.874 -5.506 -4.757
-0.007 -0.653 -5.177
-0.669 -5.306 -2.060
4.790 -2.700 -5.121
3.593 -4.370 -0.913
4.798 -2.049 0.054
1.068 -4.880 0.013
2.932 -6.902 0.474
-0.669 -3.184 -3.790
3.593 -2.249 -2.643
-1.865 -4.855 0.418
1.857 -2.675 -4.716
0.000 0.000 0.000

---

[7]
PBE CoNi3H8, optimized geometry; size of the total moment = 0.00 μB per cell; offset from the most stable computed form = 0 meV per atom; density = 6118 kg/m³
1.0
4.042 0.000 0.000
0.000 4.042 0.000
-2.021 -2.021 4.038
H Co Ni
8 1 3
Cartesian
3.057 0.986 0.984
-1.035 -1.035 3.054
0.986 3.057 0.984
3.057 3.057 0.984
1.035 -1.035 3.054
1.035 1.035 3.054
0.986 0.986 0.984
-1.035 1.035 3.054
0.000 0.000 0.000
2.021 2.021 0.000
0.000 2.021 2.019
2.021 0.000 2.019

---

[8]
PBE PrY2Hf, optimized geometry; size of the total moment = 0.00 μB per cell; E_form = 3.0 kcal/mol of atoms; offset from the most stable computed form = 0 meV per atom; density = 6903 kg/m³
1.0
3.477 0.000 0.000
1.738 3.011 0.000
1.738 1.004 11.424
Y Pr Hf
2 1 1
Cartesian
1.738 1.004 8.809
1.738 1.004 2.612
3.477 2.007 5.706
3.477 2.007 0.009

---

[9]
PBE Ca4Ac4Nd, optimized geometry; size of the total moment = 0.00 μB per cell; E_form = 1.1 kcal/mol of atoms; density = 5291 kg/m³
1.0
5.130 0.000 1.549
2.565 8.427 0.774
0.129 0.000 8.842
Ca Ac Nd
4 4 1
Cartesian
4.786 7.014 7.324
3.038 7.013 3.843
4.786 1.415 7.323
3.038 1.413 3.841
5.626 4.214 4.542
2.198 4.214 6.624
6.542 6.935 10.778
1.282 1.492 0.387
3.847 4.214 1.162

---

[10]
PBE Pa5Si2Ge2, optimized geometry; E_form (uncorrected) = -465 meV per atom; size of the total moment = 0.00 μB per cell; density = 11052 kg/m³
1.0
7.536 0.000 0.000
0.000 6.673 -3.430
0.000 -0.040 8.128
Pa Si Ge
10 4 4
Cartesian
6.153 5.431 -0.651
5.151 2.094 1.064
6.153 3.650 4.090
5.151 0.313 5.805
2.385 6.320 -1.108
0.000 0.000 0.000
1.383 2.983 0.607
1.383 1.202 5.348
3.768 3.337 -1.715
2.385 4.539 3.633
2.895 0.763 -0.392
0.873 4.099 -2.107
6.662 2.574 -1.323
4.641 5.911 -3.038
3.768 1.894 3.685
0.000 5.231 1.969
0.000 1.402 2.728
3.768 4.739 1.012

---

[11]
PBE TbDy2Ho4, optimized geometry; size of the total moment = 0.00 μB per cell; E_form = 0.1 kcal/mol of atoms; offset from the most stable computed form = 0 meV per atom; density = 8727 kg/m³
1.0
-2.933 0.983 1.755
-0.234 -1.125 -3.364
-2.415 -18.655 6.416
Ho Dy Tb
4 2 1
Cartesian
-2.560 -10.247 1.463
-3.253 -15.595 3.301
-0.739 -4.507 1.291
-2.465 -17.839 5.876
-2.429 -1.579 0.428
-3.115 -6.886 2.255
-3.804 -12.204 4.084

---

[12]
PBE LiCr3Re, optimized geometry; size of the total moment = 0.00 μB per cell; E_form = 30.1 kcal/mol of atoms; offset from the most stable computed form = 95 meV per atom; density = 9550 kg/m³
1.0
3.930 0.000 0.000
0.000 3.930 0.000
0.000 0.000 3.930
Re Cr Li
1 3 1
Cartesian
1.965 1.965 1.965
1.965 0.000 0.000
0.000 1.965 0.000
0.000 0.000 1.965
0.000 0.000 0.000

---

[13]
PBE Mn4Si3, optimized geometry; E_form (uncorrected) = 49 meV per atom; size of the total moment = 5.86 μB per cell; offset from the most stable computed form = 285 meV per atom; density = 6115 kg/m³
1.0
2.357 -4.083 0.000
2.357 4.083 0.000
0.000 0.000 4.289
Si Mn
3 4
Cartesian
1.179 2.041 0.000
1.179 -2.041 0.000
2.357 0.000 0.000
0.000 0.000 1.082
2.357 -1.361 2.144
2.357 1.361 2.144
0.000 0.000 3.207

---

[14]
PBE UO2, optimized geometry; E_form (uncorrected) = -3285 meV per atom; size of the total moment = 2.00 μB per cell; density = 11258 kg/m³
1.0
-1.339 1.856 -3.075
0.986 -1.160 -3.518
-2.601 -1.672 -2.266
U O
1 2
Cartesian
0.000 0.000 0.000
-0.739 -0.244 -2.215
-2.216 -0.732 -6.644

---

[15]
PBE RbNaEu, optimized geometry; size of the total moment = 7.64 μB per cell; E_form = 3.6 kcal/mol of atoms; offset from the most stable computed form = 2 meV per atom; density = 2654 kg/m³
1.0
-2.929 -1.061 2.781
2.976 -0.997 2.754
-0.103 9.788 0.491
Na Rb Eu
1 1 1
Cartesian
-0.004 2.073 3.921
-0.001 0.151 0.056
-0.050 5.506 2.048